Record 1
Density functional theory data (PBE) for a relaxed TaB6Mo2 crystal.

abc: 3.347 5.288 5.288
angles: 120.00 90.00 90.00
Fractional coordinates of all 9 atoms:
Ta  0.000  0.000  0.000
B  0.500  0.334  0.334
B  0.500  0.666  0.666
B  0.500  0.000  0.666
B  0.500  0.666  0.000
B  0.500  0.334  0.000
B  0.500  0.000  0.334
Mo  0.000  0.333  0.667
Mo  0.000  0.667  0.333

Computed properties:
M_tot, μB/f.u.: 0.00
Density of states at the Fermi level, states/eV/f.u.: 3.69
Formation energy, eV per atom: -0.42
Symmetry: No. 191


Record 2
Density functional theory data (PBE) for a relaxed Sn2S3 crystal.

abc: 3.799 9.241 14.350
angles: 90.00 90.00 90.00
Fractional coordinates of all 20 atoms:
Sn  0.750  0.339  0.550
Sn  0.250  0.661  0.450
Sn  0.750  0.839  0.950
Sn  0.250  0.161  0.050
Sn  0.750  0.970  0.335
Sn  0.250  0.030  0.665
Sn  0.750  0.470  0.165
Sn  0.250  0.530  0.835
S  0.750  0.482  0.394
S  0.250  0.518  0.606
S  0.750  0.982  0.106
S  0.250  0.018  0.894
S  0.750  0.833  0.505
S  0.250  0.167  0.495
S  0.750  0.333  0.995
S  0.250  0.667  0.005
S  0.750  0.220  0.709
S  0.250  0.780  0.291
S  0.750  0.720  0.791
S  0.250  0.280  0.209

Computed properties:
M_tot, μB/f.u.: 0.00
Raw formation energy, eV/atom: -0.40
Symmetry: No. 62


Record 3
Density functional theory data (PBE) for a relaxed KBe2In crystal.

abc: 5.583 5.583 2.884
angles: 90.00 90.00 105.83
Fractional coordinates of all 4 atoms:
Be  0.000  0.000  0.000
Be  0.500  0.500  0.000
K  0.000  0.500  0.500
In  0.500  0.000  0.500

Computed properties:
M_tot, μB/f.u.: 0.00
Density of states at the Fermi level, states/eV/f.u.: 1.24
Formation energy, eV per atom: 1.04
Symmetry: No. 65


Record 4
Density functional theory data (PBE) for a relaxed Y3OsI crystal.

abc: 5.462 5.462 5.462
angles: 90.00 90.00 90.00
Fractional coordinates of all 5 atoms:
I  0.500  0.500  0.500
Y  0.000  0.500  0.000
Y  0.000  0.000  0.500
Y  0.500  0.000  0.000
Os  0.000  0.000  0.000

Computed properties:
Energy above the lowest structure with this stoichiometry, eV per formula unit: 0.00
M_tot, μB/f.u.: 0.00
Raw formation energy, eV/atom: -0.14
Density of states at the Fermi level, states/eV/f.u.: 5.40
Symmetry: No. 221


Record 5
Density functional theory data (PBE) for a relaxed TbGdPuPa crystal.

abc: 5.450 5.450 5.450
angles: 60.00 60.00 60.00
Fractional coordinates of all 4 atoms:
Gd  0.250  0.250  0.250
Pa  0.000  0.000  0.000
Tb  0.500  0.500  0.500
Pu  0.750  0.750  0.750

Computed properties:
M_tot, μB/f.u.: 16.12
Density of states at the Fermi level, states/eV/f.u.: 7.60
Formation energy, eV per atom: 0.31
Symmetry: No. 216


Record 6
Density functional theory data (PBE) for a relaxed TbCe2Ga2Pd2 crystal.

abc: 4.429 4.429 9.120
angles: 75.95 75.95 60.00
Fractional coordinates of all 7 atoms:
Tb  0.000  0.000  0.000
Ce  0.137  0.137  0.589
Ce  0.863  0.863  0.411
Ga  0.738  0.738  0.787
Ga  0.262  0.262  0.213
Pd  0.597  0.597  0.209
Pd  0.403  0.403  0.791

Computed properties:
M_tot, μB/f.u.: 0.00
Density of states at the Fermi level, states/eV/f.u.: 7.30
Formation energy, eV per atom: -0.68
Symmetry: No. 166


Copy entry 6 word for word.
Density functional theory data (PBE) for a relaxed TbCe2Ga2Pd2 crystal.

abc: 4.429 4.429 9.120
angles: 75.95 75.95 60.00
Fractional coordinates of all 7 atoms:
Tb  0.000  0.000  0.000
Ce  0.137  0.137  0.589
Ce  0.863  0.863  0.411
Ga  0.738  0.738  0.787
Ga  0.262  0.262  0.213
Pd  0.597  0.597  0.209
Pd  0.403  0.403  0.791

Computed properties:
M_tot, μB/f.u.: 0.00
Density of states at the Fermi level, states/eV/f.u.: 7.30
Formation energy, eV per atom: -0.68
Symmetry: No. 166


Which formula does entry 5 have?
TbGdPuPa


Which value of M_tot does entry 6 give?
0.00 μB/f.u.